Record 1
Density functional theory data (PBE) for a relaxed structure of Tm2Bi.

Unit cell a=6.3898 b=6.3898 c=7.0307 alpha=111.40 beta=111.40 gamma=40.87
Closest atoms and distances in Å follow each position.
Atoms (fractional coordinates):
Tm (0.0138, 0.0138, 0.2651)  5 Bi 3.26-3.65, 6 Tm 3.41-3.61
Tm (0.3262, 0.3262, 0.8967)  3 Bi 3.14-3.40, 4 Tm 3.41-3.49
Tm (0.6738, 0.6738, 0.1033)  3 Bi 3.14-3.40, 4 Tm 3.41-3.49
Tm (0.9862, 0.9862, 0.7349)  5 Bi 3.26-3.65, 6 Tm 3.41-3.61
Bi (0.3398, 0.3398, 0.3888)  7 Tm 3.14-3.40
Bi (0.6602, 0.6602, 0.6112)  7 Tm 3.14-3.40

Results
N(E_F): 5.01 states/eV per cell
Calculated density: 10.497 g/cm³
Formation enthalpy at 0 K: -0.45 eV per atom
Magnetic moment: 0.00 μB/cell
Symmetry: C2/m (12)

=====

Record 2
Density functional theory data (PBE) for a relaxed structure of Tm2Bi.

Unit cell a=4.5151 b=4.5151 c=8.4550 alpha=90.00 beta=90.00 gamma=90.00
Closest atoms and distances in Å follow each position.
Atoms (fractional coordinates):
Tm (0.2500, 0.2500, 0.1598)  5 Bi 3.15-3.22
Tm (0.2500, 0.7500, 0.5000)  4 Tm 3.19, 4 Bi 3.32
Tm (0.7500, 0.2500, 0.5000)  4 Tm 3.19, 4 Bi 3.32
Tm (0.7500, 0.7500, 0.8402)  5 Bi 3.15-3.22
Bi (0.2500, 0.2500, 0.7878)  9 Tm 3.15-3.32
Bi (0.7500, 0.7500, 0.2122)  9 Tm 3.15-3.32

Results
N(E_F): 5.01 states/eV per cell
Calculated density: 10.537 g/cm³
Formation enthalpy at 0 K: -0.53 eV per atom
Magnetic moment: 0.00 μB/cell
Symmetry: P4/nmm (129)

=====

Record 3
Density functional theory data (PBE) for a relaxed structure of Tm5Bi2.

Unit cell a=19.7179 b=19.7179 c=4.5427 alpha=90.00 beta=90.00 gamma=166.71
Closest atoms and distances in Å follow each position.
Atoms (fractional coordinates):
Tm (0.0342, 0.9658, 0.7500)  8 Tm 3.22-3.51, 2 Bi 3.34
Tm (0.1083, 0.8917, 0.2500)  5 Bi 3.12-3.25
Tm (0.2501, 0.7499, 0.7500)  4 Tm 3.22, 4 Bi 3.33
Tm (0.3227, 0.6773, 0.2500)  5 Bi 3.17-3.25
Tm (0.4665, 0.5335, 0.7500)  8 Tm 3.22-3.50, 2 Bi 3.35
Tm (0.5335, 0.4665, 0.2500)  8 Tm 3.22-3.50, 2 Bi 3.35
Tm (0.6773, 0.3227, 0.7500)  5 Bi 3.17-3.25
Tm (0.7499, 0.2501, 0.2500)  4 Tm 3.22, 4 Bi 3.33
Tm (0.8917, 0.1083, 0.7500)  5 Bi 3.12-3.25
Tm (0.9658, 0.0342, 0.2500)  8 Tm 3.22-3.51, 2 Bi 3.34
Bi (0.1880, 0.8120, 0.2500)  9 Tm 3.12-3.33
Bi (0.4036, 0.5964, 0.2500)  9 Tm 3.17-3.35
Bi (0.5964, 0.4036, 0.7500)  9 Tm 3.17-3.35
Bi (0.8120, 0.1880, 0.7500)  9 Tm 3.12-3.33

Results
N(E_F): 12.63 states/eV per cell
Calculated density: 10.325 g/cm³
Formation enthalpy at 0 K: -0.45 eV per atom
Magnetic moment: 0.00 μB/cell
Symmetry: Cmcm (63)

=====

| no. | total energy (eV/cell) |
| --- | --- |
| 1 | -28.32 |
| 2 | -28.85 |
| 3 | -66.48 |